(1)
# CaZr

An optimized crystal structure of CaZr (GGA-PBE, Alexandria via LeMat-Bulk).

```
CaZr
1.0
6.121 0.000 0.000
0.000 6.121 0.000
0.000 0.000 6.121
Ca Zr
4 4
direct
0.098 0.402 0.598
0.402 0.598 0.098
0.598 0.098 0.402
0.902 0.902 0.902
0.104 0.896 0.396
0.396 0.104 0.896
0.604 0.604 0.604
0.896 0.396 0.104
```

Computed properties:
* polymorph energy (0 for the lowest one): 436 meV per atom

---

(2)
# CaZr

An optimized crystal structure of CaZr (GGA-PBE, Alexandria via LeMat-Bulk).

```
CaZr
1.0
3.340 0.000 0.000
0.000 6.145 0.000
0.000 0.000 11.652
Ca Zr
4 4
direct
0.000 0.250 0.112
0.000 0.750 0.888
0.500 0.250 0.388
0.500 0.750 0.612
0.000 0.250 0.648
0.000 0.750 0.352
0.500 0.250 0.852
0.500 0.750 0.148
```

Computed properties:
* polymorph energy (0 for the lowest one): 198 meV per atom

---

(3)
# CaZr3

An optimized crystal structure of CaZr3 (GGA-PBE, Alexandria via LeMat-Bulk).

```
CaZr3
1.0
3.287 0.000 0.000
-1.644 2.847 0.000
0.000 0.000 33.199
Ca Zr
3 9
direct
0.000 0.000 0.000
0.333 0.667 0.667
0.667 0.333 0.333
0.000 0.000 0.243
0.000 0.000 0.500
0.000 0.000 0.757
0.333 0.667 0.167
0.333 0.667 0.424
0.333 0.667 0.909
0.667 0.333 0.091
0.667 0.333 0.576
0.667 0.333 0.833
```

---

The calculated density results, record by record, are as follows: 3.80, 3.65, 5.03 g cm⁻³.
The ΔH_f (0 K) results, record by record, are as follows: 0.628, 0.390, 0.202 eV per atom.